No. 1
A plane-wave DFT calculation with PBE was carried out for a relaxed PuB4Os4 crystal.

POSCAR file:
```
PuB4Os4
1.0
7.555 0.000 0.000
0.000 7.555 0.000
0.000 0.000 4.022
Pu B Os
2 8 8
Cartesian
1.889 1.889 1.006
5.666 5.666 3.017
0.225 6.892 0.549
0.663 4.003 2.560
3.114 7.329 2.560
3.552 4.440 0.549
4.003 3.114 3.473
4.440 0.225 1.462
6.892 3.552 1.462
7.329 0.663 3.473
0.798 4.833 0.548
1.056 6.757 2.559
2.721 4.575 2.559
2.980 6.499 0.548
4.575 1.056 3.474
4.833 2.980 1.463
6.499 0.798 1.463
6.757 2.721 3.474
```

Space-group type: P4_2/n
Crystal system: tetragonal
Formation enthalpy at 0 K: -0.303 eV per atom

No. 2
A plane-wave DFT calculation with PBE was carried out for a relaxed Pu3B7Os crystal.

POSCAR file:
```
Pu3B7Os
1.0
1.731 -7.944 0.000
1.731 7.944 0.000
0.000 0.000 9.305
Pu B Os
6 14 2
Cartesian
1.731 6.227 5.273
1.731 6.227 8.684
1.731 3.944 2.326
1.731 -3.944 6.979
1.731 -6.227 0.621
1.731 -6.227 4.032
1.731 3.590 4.946
1.731 3.590 9.011
1.731 2.141 6.064
1.731 2.141 7.893
1.731 0.612 2.326
1.731 0.362 5.512
1.731 0.362 8.445
1.731 -0.362 0.860
1.731 -0.362 3.793
1.731 -0.612 6.979
1.731 -2.141 1.411
1.731 -2.141 3.241
1.731 -3.590 0.294
1.731 -3.590 4.359
1.731 7.063 2.326
1.731 -7.063 6.979
```

Space-group type: Cmcm
Crystal system: orthorhombic
Formation enthalpy at 0 K: -0.382 eV per atom

No. 3
A plane-wave DFT calculation with PBE was carried out for a relaxed Rb2BOs2 crystal.

POSCAR file:
```
Rb2BOs2
1.0
-3.443 3.443 3.190
3.443 -3.443 3.190
3.443 3.443 -3.190
Rb B Os
2 1 2
Cartesian
3.443 0.000 1.595
0.000 3.443 1.595
0.000 0.000 0.000
0.000 0.000 1.990
0.000 0.000 4.390
```

Space-group type: I4/mmm
Crystal system: tetragonal
Formation enthalpy at 0 K: 1.642 eV per atom

No. 4
A plane-wave DFT calculation with PBE was carried out for a relaxed Rb2BOs2 crystal.

POSCAR file:
```
Rb2BOs2
1.0
5.769 0.000 0.000
0.000 5.769 0.000
0.000 0.000 6.052
Rb B Os
4 2 4
Cartesian
1.053 1.831 0.000
1.831 4.715 0.000
3.938 1.053 0.000
4.715 3.938 0.000
0.000 0.000 3.026
2.884 2.884 3.026
0.880 3.765 3.026
2.004 0.880 3.026
3.765 4.889 3.026
4.889 2.004 3.026
```

Space-group type: P4/mbm
Crystal system: tetragonal
Formation enthalpy at 0 K: 0.875 eV per atom

No. 5
A plane-wave DFT calculation with PBE was carried out for a relaxed RbB3Os crystal.

POSCAR file:
```
RbB3Os
1.0
4.180 0.000 0.000
0.000 4.180 0.000
0.000 0.000 4.180
Rb B Os
1 3 1
Cartesian
0.000 0.000 0.000
0.000 0.000 2.090
0.000 2.090 0.000
2.090 0.000 0.000
2.090 2.090 2.090
```

Space-group type: Pm-3m
Crystal system: cubic
Formation enthalpy at 0 K: 4.108 eV per atom

No. 6
A plane-wave DFT calculation with PBE was carried out for a relaxed Rb2BOs crystal.

POSCAR file:
```
Rb2BOs
1.0
-6.244 6.244 2.043
6.244 -6.244 2.043
6.244 6.244 -2.043
Rb B Os
4 2 2
Cartesian
0.187 3.122 0.511
-3.122 6.057 1.532
-0.187 9.365 0.511
3.122 6.430 1.532
0.000 0.000 0.000
0.000 6.244 1.021
6.244 0.000 1.021
0.000 0.000 2.043
```

Space-group type: I-42d
Crystal system: tetragonal
Formation enthalpy at 0 K: 0.945 eV per atom

Question: Among the records above, which one has the lowest formation enthalpy at 0 K?
Answer: Pu3B7Os

Question: The highest formation enthalpy at 0 K belongs to which entry?
Answer: RbB3Os

Question: The highest formation enthalpy at 0 K belongs to which entry?
Answer: RbB3Os